## Li3GeTe (PBE)

Data for a relaxed structure of Li3GeTe.

The structure in CIF format:
```
data_Li3GeTe
_cell_length_a 5.098
_cell_length_b 5.098
_cell_length_c 5.098
_cell_angle_alpha 90.00
_cell_angle_beta 90.00
_cell_angle_gamma 90.00
_symmetry_space_group_name_H-M 'P 1'
_symmetry_Int_Tables_number 1
_symmetry_space_group_name_Hall 'P 1'
loop_
_atom_site_label
_atom_site_fract_x
_atom_site_fract_y
_atom_site_fract_z
Ge1 0.500 0.500 0.500
Li1 0.500 0.000 0.000
Li2 0.000 0.500 0.000
Li3 0.000 0.000 0.500
Te1 0.000 0.000 0.000
```

Output
DOS(E_F) (states/eV/f.u.): 3.85
SG: Pm-3m, No. 221
E above lowest polymorph (meV per atom): 0.0
Formation energy from raw total energies (eV per atom): -0.088
Calculated total energy (eV/atom): -2.79

## Zr2PaN4 (PBE)

Data for a relaxed structure of Zr2PaN4.

The structure in CIF format:
```
data_Zr2PaN4
_cell_length_a 6.624
_cell_length_b 6.624
_cell_length_c 6.625
_cell_angle_alpha 120.00
_cell_angle_beta 120.00
_cell_angle_gamma 89.96
_symmetry_space_group_name_H-M 'P 1'
_symmetry_Int_Tables_number 1
_symmetry_space_group_name_Hall 'P 1'
loop_
_atom_site_label
_atom_site_fract_x
_atom_site_fract_y
_atom_site_fract_z
N1 0.843 0.614 0.229
N2 0.864 0.593 0.729
N3 0.385 0.614 0.771
N4 0.386 0.614 0.229
N5 0.864 0.135 0.271
N6 0.386 0.157 0.771
N7 0.407 0.136 0.271
N8 0.864 0.136 0.729
Pa1 0.000 0.000 0.000
Pa2 0.250 0.750 0.500
Zr1 0.125 0.375 0.750
Zr2 0.625 0.375 0.750
Zr3 0.625 0.875 0.250
Zr4 0.625 0.375 0.250
```

Output
DOS(E_F) (states/eV/f.u.): 3.11
SG: Fd-3m, No. 227
E above lowest polymorph (meV per atom): 136.9
Formation energy from raw total energies (eV per atom): -1.478
Calculated total energy (eV/atom): -10.03

## ErHg2Pd5 (PBE)

Data for a relaxed structure of ErHg2Pd5.

The structure in CIF format:
```
data_ErHg2Pd5
_cell_length_a 4.230
_cell_length_b 4.230
_cell_length_c 8.496
_cell_angle_alpha 104.41
_cell_angle_beta 104.41
_cell_angle_gamma 90.00
_symmetry_space_group_name_H-M 'P 1'
_symmetry_Int_Tables_number 1
_symmetry_space_group_name_Hall 'P 1'
loop_
_atom_site_label
_atom_site_fract_x
_atom_site_fract_y
_atom_site_fract_z
Hg1 0.748 0.748 0.495
Hg2 0.252 0.252 0.505
Pd1 0.376 0.876 0.751
Pd2 0.876 0.376 0.751
Pd3 0.124 0.624 0.249
Pd4 0.500 0.500 0.000
Pd5 0.624 0.124 0.249
Er1 0.000 0.000 0.000
```

Output
DOS(E_F) (states/eV/f.u.): 3.36
SG: I4/mmm, No. 139
DFT formation energy (eV/atom): -0.50
E above lowest polymorph (meV per atom): 0.0
Calculated total energy (eV/atom): -4.40

## LiOs2Au (PBE)

Data for a relaxed structure of LiOs2Au.

The structure in CIF format:
```
data_LiOs2Au
_cell_length_a 4.359
_cell_length_b 4.359
_cell_length_c 4.359
_cell_angle_alpha 60.00
_cell_angle_beta 60.00
_cell_angle_gamma 60.00
_symmetry_space_group_name_H-M 'P 1'
_symmetry_Int_Tables_number 1
_symmetry_space_group_name_Hall 'P 1'
loop_
_atom_site_label
_atom_site_fract_x
_atom_site_fract_y
_atom_site_fract_z
Li1 0.750 0.750 0.750
Os1 0.000 0.000 0.000
Os2 0.250 0.250 0.250
Au1 0.500 0.500 0.500
```

Output
DOS(E_F) (states/eV/f.u.): 2.55
SG: F-43m, No. 216
DFT formation energy (eV/atom): 0.41
E above lowest polymorph (meV per atom): 273.8
Calculated total energy (eV/atom): -6.50

## Dy6Al2Rh (PBE)

Data for a relaxed structure of Dy6Al2Rh.

The structure in CIF format:
```
data_Dy6Al2Rh
_cell_length_a 4.995
_cell_length_b 7.082
_cell_length_c 8.530
_cell_angle_alpha 114.53
_cell_angle_beta 107.04
_cell_angle_gamma 90.00
_symmetry_space_group_name_H-M 'P 1'
_symmetry_Int_Tables_number 1
_symmetry_space_group_name_Hall 'P 1'
loop_
_atom_site_label
_atom_site_fract_x
_atom_site_fract_y
_atom_site_fract_z
Dy1 0.158 0.914 0.317
Dy2 0.158 0.402 0.317
Dy3 0.842 0.598 0.683
Dy4 0.500 0.763 0.000
Dy5 0.842 0.086 0.683
Dy6 0.500 0.237 0.000
Al1 0.332 0.332 0.664
Al2 0.668 0.668 0.336
Rh1 0.000 0.000 0.000
```

Output
DOS(E_F) (states/eV/f.u.): 9.04
SG: Immm, No. 71
DFT formation energy (eV/atom): -0.21
Calculated total energy (eV/atom): -4.92

## Sm2GdPb (PBE)

Data for a relaxed structure of Sm2GdPb.

The structure in CIF format:
```
data_Sm2GdPb
_cell_length_a 4.896
_cell_length_b 4.948
_cell_length_c 4.948
_cell_angle_alpha 90.00
_cell_angle_beta 90.00
_cell_angle_gamma 90.00
_symmetry_space_group_name_H-M 'P 1'
_symmetry_Int_Tables_number 1
_symmetry_space_group_name_Hall 'P 1'
loop_
_atom_site_label
_atom_site_fract_x
_atom_site_fract_y
_atom_site_fract_z
Sm1 0.000 0.500 0.000
Sm2 0.000 0.000 0.500
Gd1 0.500 0.000 0.000
Pb1 0.500 0.500 0.500
```

Output
DOS(E_F) (states/eV/f.u.): 3.96
SG: P4/mmm, No. 123
DFT formation energy (eV/atom): -0.33
E above lowest polymorph (meV per atom): 0.0
Calculated total energy (eV/atom): -7.14

## K2RbTiF8 (PBE)

Data for a relaxed structure of K2RbTiF8.

The structure in CIF format:
```
data_K2RbTiF8
_cell_length_a 5.713
_cell_length_b 4.871
_cell_length_c 7.818
_cell_angle_alpha 73.68
_cell_angle_beta 90.05
_cell_angle_gamma 89.98
_symmetry_space_group_name_H-M 'P 1'
_symmetry_Int_Tables_number 1
_symmetry_space_group_name_Hall 'P 1'
loop_
_atom_site_label
_atom_site_fract_x
_atom_site_fract_y
_atom_site_fract_z
F1 0.000 0.307 0.785
F2 0.762 0.825 0.899
F3 0.000 0.693 0.215
F4 0.500 0.195 0.510
F5 0.238 0.175 0.101
F6 0.500 0.805 0.490
F7 0.764 0.177 0.102
F8 0.236 0.823 0.898
Rb1 0.000 0.000 0.500
K1 0.500 0.598 0.204
K2 0.500 0.402 0.796
Ti1 0.000 0.000 0.000
```

Output
SG: P-1, No. 2
Formation energy from raw total energies (eV per atom): -2.909
Calculated total energy (eV/atom): -5.08

## Ca2GaF8 (PBE)

Data for a relaxed structure of Ca2GaF8.

The structure in CIF format:
```
data_Ca2GaF8
_cell_length_a 4.692
_cell_length_b 6.371
_cell_length_c 6.279
_cell_angle_alpha 111.93
_cell_angle_beta 85.89
_cell_angle_gamma 119.07
_symmetry_space_group_name_H-M 'P 1'
_symmetry_Int_Tables_number 1
_symmetry_space_group_name_Hall 'P 1'
loop_
_atom_site_label
_atom_site_fract_x
_atom_site_fract_y
_atom_site_fract_z
F1 0.052 0.795 0.869
F2 0.470 0.678 0.973
F3 0.168 0.389 0.567
F4 0.398 0.021 0.311
F5 0.948 0.205 0.131
F6 0.602 0.979 0.689
F7 0.530 0.322 0.027
F8 0.832 0.611 0.433
Ca1 0.360 0.626 0.328
Ca2 0.640 0.374 0.672
Ga1 0.500 0.000 0.000
```

Output
DOS(E_F) (states/eV/f.u.): 7.26
SG: P-1, No. 2
Formation energy from raw total energies (eV per atom): -3.023
Calculated total energy (eV/atom): -5.02